No. 1
# Er3TmIr3

A relaxed structure of Er3TmIr3 (GGA-PBE, Alexandria via LeMat-Bulk).

E_form = -0.7912 eV per atom

```
Er3TmIr3
1.0
5.5226 -0.0009 -1.9479
-2.7703 4.7894 -1.9603
0.0005 -0.0009 5.8561
Ir Er Tm
3 3 1
Cartesian
-1.3951 2.4118 1.9412
2.7511 0.0162 1.9467
1.3665 2.4118 -1.9615
2.7493 0.0166 -0.9801
1.3676 2.4127 0.9677
-0.0096 0.0166 2.9188
-1.3936 2.4093 -0.9861
```

No. 2
# NaCd6In3

A relaxed structure of NaCd6In3 (GGA-PBE, Alexandria via LeMat-Bulk).

E_form = 0.0141 eV per atom

```
NaCd6In3
1.0
8.0086 -0.6972 -0.7128
-0.8708 7.9915 -0.7128
-0.8708 -0.8899 7.9738
In Cd Na
6 12 2
Cartesian
0.7456 0.7783 3.1244
3.0895 0.8129 0.8474
5.5050 3.2977 5.7166
3.1774 5.5915 5.7007
0.7619 3.1068 0.8315
5.5213 5.6262 3.4236
4.1833 4.2408 0.4932
4.8180 7.2302 0.8410
1.4490 -0.8258 5.7071
0.5757 4.8316 7.2471
5.9587 2.2135 2.2974
4.1490 0.3983 4.2842
0.3082 4.1910 4.2507
2.0836 2.1637 6.0548
2.1179 6.0061 2.2639
5.6912 1.5728 -0.6990
-0.8570 5.6740 1.5569
7.1240 0.7305 4.9911
3.1335 3.2022 3.2740
0.0000 0.0000 0.0000
```

Total magnetization
In order: 0.000, 0.000
Unit: μB per atom
Theoretical density
In order: 13.4, 7.0
Unit: Mg/m³
Offset from the most stable computed form
In order: 0.0, 0.4
Unit: kJ/mol of atoms